The following is a DFT calculation (PBE) of crystalline Y2CoCBr at its relaxed geometry.

Cell lengths 5.092, 3.628, 5.092 Å; angles 90.00, 90.00, 90.00 degrees
Element x y z (fractional)
C1 0.000 0.000 0.000
Co1 0.000 0.500 0.000
Br1 0.500 0.500 0.500
Y1 0.000 0.000 0.500
Y2 0.500 0.000 0.000

- E_form (uncorrected) (eV/atom) = -0.483
- V (Å³ per cell) = 94.1
- mass density (g/cm³) = 5.802
- space-group type = P4/mmm
- E (eV/cell) = -33.345